The following is a PBE calculation of KPm3Pa2N6 after structural relaxation, from Alexandria via LeMat-Bulk.

Values from the calculation:
**Total magnetization**: 0.0 μB/f.u.
**E_form (uncorrected)**: -1.292 eV/atom
**DFT total energy**: -0.3056 Ha/atom

Lattice parameters (Å, degrees): 3.610 7.280 8.002 102.26 103.04 90.00
Positions (direct):
N  0.320  0.883  0.641
N  0.325  0.424  0.651
N  0.972  0.705  0.944
N  0.680  0.117  0.359
N  0.675  0.576  0.349
N  0.028  0.295  0.056
Pa  0.833  0.668  0.666
Pa  0.167  0.332  0.334
Pm  0.165  0.840  0.331
Pm  0.835  0.160  0.669
Pm  0.500  0.500  0.000
K  0.500  0.000  0.000